# PBE-GGA Zr2Sc3Al2, optimized geometry
data_Zr2Sc3Al2
_chemical_formula_sum 'Zr4 Sc6 Al4'
_cell_length_a 4.724
_cell_length_b 20.853
_cell_length_c 3.036
_cell_angle_alpha 90.00
_cell_angle_beta 90.00
_cell_angle_gamma 90.00
_space_group_name_H-M_alt 'C m m m'
_space_group_IT_number 65
_space_group_name_Hall '-C 2 2'
loop_
_atom_site_label
_atom_site_type_symbol
_atom_site_fract_x
_atom_site_fract_y
_atom_site_fract_z
_atom_site_occupancy
Zr1 Zr 0.000 0.221 0.000 1
Sc1 Sc 0.000 0.357 0.500 1
Sc2 Sc 0.000 0.500 0.500 1
Al1 Al 0.000 0.071 0.000 1
# D(E_F): 0.99 states/eV/atom
# ρ: 4.12 g cm⁻³
# DFT total energy: -89.1 eV/cell
# Energy of formation: -141 meV per atom